[1]
This record from the Alexandria database describes a relaxed structure of MgTe2As. The functional is PBE-GGA.

Unit cell a=6.969 b=6.969 c=6.969 alpha=145.17 beta=144.22 gamma=50.80
Sites, in units of the cell vectors:
Mg 0.000 0.000 0.000
Te 0.162 0.662 0.500
Te 0.838 0.338 0.500
As 0.500 0.500 0.000

Calculated values
energy above the most stable polymorph in this dataset: 0.147 eV per atom
symmetry: Immm (71)

[2]
This record from the Alexandria database describes a relaxed structure of MgTe2As. The functional is PBE-GGA.

Unit cell a=3.998 b=4.004 c=7.963 alpha=90.00 beta=90.00 gamma=90.00
Sites, in units of the cell vectors:
Mg 0.000 0.000 0.000
Te 0.000 0.500 0.500
Te 0.500 0.500 0.000
As 0.500 0.000 0.500

Calculated values
energy above the most stable polymorph in this dataset: 0.291 eV per atom
symmetry: Pmmm (47)

[3]
This record from the Alexandria database describes a relaxed structure of MgTe2As. The functional is PBE-GGA.

Unit cell a=3.097 b=3.097 c=12.007 alpha=90.00 beta=90.00 gamma=92.49
Sites, in units of the cell vectors:
Mg 0.000 0.000 0.000
Te 0.000 0.000 0.467
Te 0.500 0.500 0.797
As 0.500 0.500 0.147

Calculated values
energy above the most stable polymorph in this dataset: 0.319 eV per atom
symmetry: Cmm2 (35)

[4]
This record from the Alexandria database describes a relaxed structure of MgTe2As. The functional is PBE-GGA.

Unit cell a=4.584 b=4.584 c=7.913 alpha=90.00 beta=90.00 gamma=127.27
Sites, in units of the cell vectors:
Mg 0.000 0.000 0.000
Te 0.500 0.500 0.254
Te 0.500 0.500 0.746
As 0.000 0.000 0.500

Calculated values
energy above the most stable polymorph in this dataset: 0.354 eV per atom
symmetry: Cmmm (65)

[5]
This record from the Alexandria database describes a relaxed structure of MgTe2As. The functional is PBE-GGA.

Unit cell a=7.463 b=7.463 c=7.463 alpha=32.98 beta=32.98 gamma=32.98
Sites, in units of the cell vectors:
Mg 0.000 0.000 0.000
Te 0.262 0.262 0.262
Te 0.489 0.489 0.489
As 0.751 0.751 0.751

Calculated values
energy above the most stable polymorph in this dataset: 0.197 eV per atom
symmetry: R3m (160)

[6]
This record from the Alexandria database describes a relaxed structure of MgTe2As. The functional is PBE-GGA.

Unit cell a=5.204 b=5.204 c=4.204 alpha=90.00 beta=90.00 gamma=106.59
Sites, in units of the cell vectors:
Mg 0.000 0.000 0.000
Te 0.257 0.743 0.500
Te 0.743 0.257 0.500
As 0.500 0.500 0.000

Calculated values
energy above the most stable polymorph in this dataset: 0.157 eV per atom
symmetry: Cmmm (65)

[7]
This record from the Alexandria database describes a relaxed structure of MgTe2As. The functional is PBE-GGA.

Unit cell a=5.190 b=5.190 c=5.190 alpha=60.00 beta=60.00 gamma=60.00
Sites, in units of the cell vectors:
Mg 0.000 0.000 0.000
Te 0.500 0.500 0.500
Te 0.750 0.750 0.750
As 0.250 0.250 0.250

Calculated values
energy above the most stable polymorph in this dataset: 0.525 eV per atom
symmetry: F-43m (216)

[8]
This record from the Alexandria database describes a relaxed structure of Mg2Te4As. The functional is PBE-GGA.

Unit cell a=8.113 b=8.113 c=8.113 alpha=139.93 beta=139.93 gamma=57.96
Sites, in units of the cell vectors:
Mg 0.106 0.106 0.000
Mg 0.894 0.894 0.000
Te 0.000 0.500 0.500
Te 0.297 0.297 0.000
Te 0.500 0.000 0.500
Te 0.703 0.703 0.000
As 0.500 0.500 0.000

Calculated values
symmetry: I4/mmm (139)

[9]
This record from the Alexandria database describes a relaxed structure of MgTe2As. The functional is PBE-GGA.

Unit cell a=3.621 b=3.621 c=7.384 alpha=90.00 beta=90.00 gamma=90.00
Sites, in units of the cell vectors:
Mg 0.000 0.000 0.000
Te 0.500 0.500 0.248
Te 0.500 0.500 0.752
As 0.000 0.000 0.500

Calculated values
energy above the most stable polymorph in this dataset: 0.380 eV per atom
symmetry: P4/mmm (123)

[10]
This record from the Alexandria database describes a relaxed structure of MgTe2As. The functional is PBE-GGA.

Unit cell a=5.183 b=5.183 c=5.183 alpha=60.00 beta=60.00 gamma=60.00
Sites, in units of the cell vectors:
Mg 0.000 0.000 0.000
Te 0.250 0.250 0.250
Te 0.750 0.750 0.750
As 0.500 0.500 0.500

Calculated values
energy above the most stable polymorph in this dataset: 0.431 eV per atom
symmetry: Fm-3m (225)

[11]
This record from the Alexandria database describes a relaxed structure of MgTe3As. The functional is PBE-GGA.

Unit cell a=5.429 b=5.429 c=5.429 alpha=90.00 beta=90.00 gamma=90.00
Sites, in units of the cell vectors:
Mg 0.000 0.000 0.000
Te 0.000 0.500 0.500
Te 0.500 0.000 0.500
Te 0.500 0.500 0.000
As 0.500 0.500 0.500

Calculated values
energy above the most stable polymorph in this dataset: 0.000 eV per atom
symmetry: Pm-3m (221)

[12]
This record from the Alexandria database describes a relaxed structure of MgTe2As. The functional is PBE-GGA.

Unit cell a=8.698 b=8.698 c=8.698 alpha=139.21 beta=139.21 gamma=59.06
Sites, in units of the cell vectors:
Mg 0.000 0.000 0.000
Mg 0.750 0.250 0.500
Te 0.132 0.625 0.007
Te 0.375 0.382 0.507
Te 0.618 0.125 0.993
Te 0.875 0.868 0.493
As 0.250 0.750 0.500
As 0.500 0.500 0.000

Calculated values
energy above the most stable polymorph in this dataset: 0.208 eV per atom
symmetry: I-42d (122)

[13]
This record from the Alexandria database describes a relaxed structure of MgTeAs3. The functional is PBE-GGA.

Unit cell a=5.000 b=5.000 c=5.000 alpha=90.00 beta=90.00 gamma=90.00
Sites, in units of the cell vectors:
Mg 0.000 0.000 0.000
Te 0.500 0.500 0.500
As 0.000 0.000 0.500
As 0.000 0.500 0.000
As 0.500 0.000 0.000

Calculated values
energy above the most stable polymorph in this dataset: 0.000 eV per atom
symmetry: Pm-3m (221)

[14]
This record from the Alexandria database describes a relaxed structure of Mg4TeAs. The functional is PBE-GGA.

Unit cell a=5.803 b=5.803 c=5.803 alpha=60.00 beta=60.00 gamma=60.00
Sites, in units of the cell vectors:
Mg 0.125 0.125 0.125
Mg 0.125 0.125 0.625
Mg 0.125 0.625 0.125
Mg 0.625 0.125 0.125
Te 0.750 0.750 0.750
As 0.500 0.500 0.500

Calculated values
symmetry: F-43m (216)

[15]
This record from the Alexandria database describes a relaxed structure of MgTe2As. The functional is PBE-GGA.

Unit cell a=7.780 b=7.780 c=7.780 alpha=30.69 beta=30.69 gamma=30.69
Sites, in units of the cell vectors:
Mg 0.000 0.000 0.000
Te 0.578 0.578 0.578
Te 0.750 0.750 0.750
As 0.167 0.167 0.167

Calculated values
energy above the most stable polymorph in this dataset: 0.171 eV per atom
symmetry: R3m (160)

For the records above, the corresponding total magnetic moment values read 0.00; 0.00; 0.00; 0.00; 0.00; 0.00; 0.00; 0.00; 0.00; 0.00; 0.00; 0.00; 0.00; 0.00; 0.00 μB per cell.
For the records above, the corresponding energy relative to the elements, uncorrected values read -185; -41; -13; 21; -135; -175; 193; -60; 47; 99; 287; -124; 659; 20; -162 meV/atom.